[1]
Material: ZnPt9
Method: DFT, PBE
State: relaxed

Results
Magnetic moment   0.0069 μB/atom
ΔH_f (0 K)   -0.144 eV per formula unit

Cell lengths 2.8198, 2.8198, 52.3244 Å; angles 90.00, 90.00, 90.00 degrees
Last column: nearest neighbours and their distance in Å.
Atoms (fractional coordinates):
Zn 0.2500 0.2500 0.1457  4 Pt 2.61, 4 Zn 2.82
Zn 0.7500 0.7500 0.8543  4 Pt 2.61, 4 Zn 2.82
Pt 0.2500 0.2500 0.2172  12 Pt 2.81-2.87
Pt 0.2500 0.2500 0.2925  12 Pt 2.80-2.82
Pt 0.2500 0.2500 0.3678  12 Pt 2.80-2.82
Pt 0.2500 0.2500 0.4435  12 Pt 2.80-2.82
Pt 0.2500 0.2500 0.5188  12 Pt 2.80-2.82
Pt 0.2500 0.2500 0.5944  12 Pt 2.81-2.82
Pt 0.2500 0.2500 0.6699  12 Pt 2.80-2.82
Pt 0.2500 0.2500 0.7450  12 Pt 2.80-2.82
Pt 0.2500 0.2500 0.8222  4 Zn 2.61, 8 Pt 2.82-2.87
Pt 0.7500 0.7500 0.1778  4 Zn 2.61, 8 Pt 2.82-2.87
Pt 0.7500 0.7500 0.2550  12 Pt 2.80-2.82
Pt 0.7500 0.7500 0.3301  12 Pt 2.80-2.82
Pt 0.7500 0.7500 0.4056  12 Pt 2.81-2.82
Pt 0.7500 0.7500 0.4812  12 Pt 2.80-2.82
Pt 0.7500 0.7500 0.5565  12 Pt 2.80-2.82
Pt 0.7500 0.7500 0.6322  12 Pt 2.80-2.82
Pt 0.7500 0.7500 0.7075  12 Pt 2.80-2.82
Pt 0.7500 0.7500 0.7828  12 Pt 2.81-2.87

[2]
Material: FeAsPdPt
Method: DFT, PBE
State: relaxed

Results
Magnetic moment   0.7421 μB/atom
E_tot   -6.09 eV/atom

Cell lengths 4.3988, 4.3988, 4.3988 Å; angles 60.00, 60.00, 60.00 degrees
Last column: nearest neighbours and their distance in Å.
Atoms (fractional coordinates):
Fe 0.0000 0.0000 0.0000  4 As 2.69, 4 Pt 2.69
As 0.7500 0.7500 0.7500  4 Pd 2.69, 4 Fe 2.69
Pd 0.5000 0.5000 0.5000  4 As 2.69, 4 Pt 2.69
Pt 0.2500 0.2500 0.2500  4 Pd 2.69, 4 Fe 2.69